Record 1
This record from the Alexandria database describes Hf2MnNiH after structural relaxation. The functional is PBE.

The value obtained for the total energy is -7.92 eV per atom.

The space group is P4/mmm (No. 123) and the conventional cell measures 4.469, 4.469 and 3.314 Å, with angles of 90.00, 90.00 and 90.00 degrees. Symmetry generates all atoms from Hf at (0.000, 0.500, 0.000), Mn at (0.000, 0.000, 0.500), Ni at (0.500, 0.500, 0.500) and H at (0.000, 0.000, 0.000).

Record 2
This record from the Alexandria database describes HgRu7 after structural relaxation. The functional is PBE.

The formation energy is 440 meV/atom. The value obtained for the total energy is -7.71 eV per atom.

The space group is Fm-3m (No. 225) and the conventional cell measures 7.776, 7.776 and 7.776 Å, with angles of 90.00, 90.00 and 90.00 degrees. Symmetry generates all atoms from Hg at (0.000, 0.000, 0.000), Ru at (0.000, 0.000, 0.500) and Ru at (0.000, 0.250, 0.250).

Record 3
This record from the Alexandria database describes LiTcGe2 after structural relaxation. The functional is PBE.

The energy above the lowest structure with this stoichiometry comes out at 26.3 meV per atom. The formation energy is -156 meV/atom. The value obtained for the total energy is -5.53 eV per atom.

The space group is R3m (No. 160, hexagonal axes) and the conventional cell measures 3.0453, 3.0453 and 24.5510 Å, with angles of 90.00, 90.00 and 120.00 degrees. Symmetry generates all atoms from Li at (0.0000, 0.0000, 0.0000), Tc at (0.0000, 0.0000, 0.1637), Ge at (0.0000, 0.0000, 0.5744) and Ge at (0.0000, 0.0000, 0.7540).